# CdAgCl2, relaxed, DFT GGA-PBE
data_CdAgCl2
_space_group_name_H-M_alt 'C m m 2'
_space_group_IT_number 35
_cell_length_a 4.2401
_cell_length_b 5.7759
_cell_length_c 8.1325
_cell_angle_alpha 90.00
_cell_angle_beta 90.00
_cell_angle_gamma 90.00
loop_
_space_group_symop_operation_xyz
'x,y,z'
'-x,-y,z'
'-x,y,z'
'x,-y,z'
'x+1/2,y+1/2,z'
'-x+1/2,-y+1/2,z'
'-x+1/2,y+1/2,z'
'x+1/2,-y+1/2,z'
loop_
_atom_site_label
_atom_site_type_symbol
_atom_site_fract_x
_atom_site_fract_y
_atom_site_fract_z
Cd1 Cd 0.0000 0.0000 0.0000
Ag1 Ag 0.0000 0.5000 0.7595
Cl1 Cl 0.0000 0.0000 0.5872
Cl2 Cl 0.0000 0.5000 0.1886
# Formation energy from raw total energies: -0.40 eV/atom
# ΔE to the lowest computed polymorph: 121.6 meV/atom
# Total magnetic moment: 0.00 μB/f.u.
# DOS at the Fermi energy: 0.368 states/eV/atom

***

# CdAgCl2, relaxed, DFT GGA-PBE
data_CdAgCl2
_space_group_name_H-M_alt 'P m m m'
_space_group_IT_number 47
_cell_length_a 3.8372
_cell_length_b 4.0131
_cell_length_c 6.4780
_cell_angle_alpha 90.00
_cell_angle_beta 90.00
_cell_angle_gamma 90.00
loop_
_space_group_symop_operation_xyz
'x,y,z'
'-x,-y,-z'
'-x,-y,z'
'x,y,-z'
'x,-y,-z'
'-x,y,z'
'-x,y,-z'
'x,-y,z'
loop_
_atom_site_label
_atom_site_type_symbol
_atom_site_fract_x
_atom_site_fract_y
_atom_site_fract_z
Cd1 Cd 0.0000 0.0000 0.0000
Ag1 Ag 0.0000 0.5000 0.5000
Cl1 Cl 0.5000 0.0000 0.5000
Cl2 Cl 0.5000 0.5000 0.0000
# Formation energy from raw total energies: -0.34 eV/atom
# ΔE to the lowest computed polymorph: 175.5 meV/atom
# Total magnetic moment: 0.00 μB/f.u.
# DOS at the Fermi energy: 0.385 states/eV/atom

***

# CdAg4Cl, relaxed, DFT GGA-PBE
data_CdAg4Cl
_space_group_name_H-M_alt 'F -4 3 m'
_space_group_IT_number 216
_space_group_name_Hall 'F -4 2 3'
_cell_length_a 7.9558
_cell_length_b 7.9558
_cell_length_c 7.9558
_cell_angle_alpha 90.00
_cell_angle_beta 90.00
_cell_angle_gamma 90.00
loop_
_atom_site_label
_atom_site_type_symbol
_atom_site_fract_x
_atom_site_fract_y
_atom_site_fract_z
Cd1 Cd 0.0000 0.0000 0.0000
Ag1 Ag 0.1251 0.1251 0.3749
Cl1 Cl 0.2500 0.2500 0.7500
# Formation energy from raw total energies: 0.06 eV/atom
# Total magnetic moment: 0.00 μB/f.u.
# DOS at the Fermi energy: 0.245 states/eV/atom

***

# Cd2Ag5Cl12, relaxed, DFT GGA-PBE
data_Cd2Ag5Cl12
_space_group_name_H-M_alt 'P -1'
_space_group_IT_number 2
_cell_length_a 7.4401
_cell_length_b 8.0241
_cell_length_c 9.7561
_cell_angle_alpha 99.80
_cell_angle_beta 90.05
_cell_angle_gamma 117.62
loop_
_space_group_symop_operation_xyz
'x,y,z'
'-x,-y,-z'
loop_
_atom_site_label
_atom_site_type_symbol
_atom_site_fract_x
_atom_site_fract_y
_atom_site_fract_z
Cd1 Cd 0.2481 0.0000 0.0001
Ag1 Ag 0.2436 0.4872 0.4996
Ag2 Ag 0.2482 0.4963 0.9982
Ag3 Ag 0.5000 0.0000 0.5000
Cl1 Cl 0.0468 0.0938 0.8388
Cl2 Cl 0.0574 0.6145 0.8578
Cl3 Cl 0.1320 0.7437 0.4976
Cl4 Cl 0.3885 0.2564 0.5024
Cl5 Cl 0.4434 0.3855 0.1423
Cl6 Cl 0.4560 0.9117 0.1637
# Formation energy from raw total energies: -0.59 eV/atom
# ΔE to the lowest computed polymorph: 0.0 meV/atom
# Total magnetic moment: 1.50 μB/f.u.
# DOS at the Fermi energy: 0.366 states/eV/atom

***

# CdAgCl2, relaxed, DFT GGA-PBE
data_CdAgCl2
_space_group_name_H-M_alt 'P 4 m m'
_space_group_IT_number 99
_cell_length_a 4.1460
_cell_length_b 4.1460
_cell_length_c 5.6901
_cell_angle_alpha 90.00
_cell_angle_beta 90.00
_cell_angle_gamma 90.00
loop_
_space_group_symop_operation_xyz
'x,y,z'
'-y,x,z'
'-x,-y,z'
'y,-x,z'
'-x,y,z'
'y,x,z'
'x,-y,z'
'-y,-x,z'
loop_
_atom_site_label
_atom_site_type_symbol
_atom_site_fract_x
_atom_site_fract_y
_atom_site_fract_z
Cd1 Cd 0.0000 0.0000 0.0000
Ag1 Ag 0.5000 0.5000 0.5026
Cl1 Cl 0.0000 0.0000 0.4999
Cl2 Cl 0.5000 0.5000 0.0011
# Formation energy from raw total energies: -0.41 eV/atom
# ΔE to the lowest computed polymorph: 111.7 meV/atom
# Total magnetic moment: 0.00 μB/f.u.
# DOS at the Fermi energy: 0.288 states/eV/atom

***

# CdAgCl2, relaxed, DFT GGA-PBE
data_CdAgCl2
_space_group_name_H-M_alt 'I -4 2 d'
_space_group_IT_number 122
_space_group_name_Hall 'I -4 2bw'
_cell_length_a 6.2847
_cell_length_b 6.2847
_cell_length_c 12.4603
_cell_angle_alpha 90.00
_cell_angle_beta 90.00
_cell_angle_gamma 90.00
loop_
_atom_site_label
_atom_site_type_symbol
_atom_site_fract_x
_atom_site_fract_y
_atom_site_fract_z
Cd1 Cd 0.0000 0.0000 0.0000
Ag1 Ag 0.0000 0.0000 0.5000
Cl1 Cl 0.2302 0.2500 0.6250
# Formation energy from raw total energies: -0.41 eV/atom
# ΔE to the lowest computed polymorph: 107.4 meV/atom
# Total magnetic moment: 0.00 μB/f.u.
# DOS at the Fermi energy: 0.042 states/eV/atom

***

# CdAgCl2, relaxed, DFT GGA-PBE
data_CdAgCl2
_space_group_name_H-M_alt 'R -3 m'
_space_group_IT_number 166
_space_group_name_Hall '-R 3 2"'
_cell_length_a 3.8077
_cell_length_b 3.8077
_cell_length_c 25.5576
_cell_angle_alpha 90.00
_cell_angle_beta 90.00
_cell_angle_gamma 120.00
loop_
_atom_site_label
_atom_site_type_symbol
_atom_site_fract_x
_atom_site_fract_y
_atom_site_fract_z
Cd1 Cd 0.0000 0.0000 0.0000
Ag1 Ag 0.0000 0.0000 0.5000
Cl1 Cl 0.0000 0.0000 0.1027
# Formation energy from raw total energies: -0.37 eV/atom
# ΔE to the lowest computed polymorph: 150.2 meV/atom
# Total magnetic moment: 0.00 μB/f.u.
# DOS at the Fermi energy: 0.304 states/eV/atom

***

# CdAgCl2, relaxed, DFT GGA-PBE
data_CdAgCl2
_space_group_name_H-M_alt 'I m m m'
_space_group_IT_number 71
_space_group_name_Hall '-I 2 2'
_cell_length_a 3.9339
_cell_length_b 6.5065
_cell_length_c 7.7721
_cell_angle_alpha 90.00
_cell_angle_beta 90.00
_cell_angle_gamma 90.00
loop_
_atom_site_label
_atom_site_type_symbol
_atom_site_fract_x
_atom_site_fract_y
_atom_site_fract_z
Cd1 Cd 0.0000 0.0000 0.0000
Ag1 Ag 0.0000 0.0000 0.5000
Cl1 Cl 0.0000 0.5000 0.2324
# Formation energy from raw total energies: -0.35 eV/atom
# ΔE to the lowest computed polymorph: 171.3 meV/atom
# Total magnetic moment: 0.00 μB/f.u.
# DOS at the Fermi energy: 0.391 states/eV/atom

***

# CdAg2Cl4, relaxed, DFT GGA-PBE
data_CdAg2Cl4
_space_group_name_H-M_alt 'P 41 2 2'
_space_group_IT_number 91
_cell_length_a 7.9773
_cell_length_b 7.9773
_cell_length_c 11.3314
_cell_angle_alpha 90.00
_cell_angle_beta 90.00
_cell_angle_gamma 90.00
loop_
_space_group_symop_operation_xyz
'x,y,z'
'-y,x,z+1/4'
'-x,-y,z+1/2'
'y,-x,z+3/4'
'x,-y,-z+1/2'
'-y,-x,-z+1/4'
'-x,y,-z'
'y,x,-z+3/4'
loop_
_atom_site_label
_atom_site_type_symbol
_atom_site_fract_x
_atom_site_fract_y
_atom_site_fract_z
Cd1 Cd 0.0000 0.2566 0.0000
Ag1 Ag 0.2471 0.2471 0.3750
Ag2 Ag 0.2622 0.5000 0.7500
Cl1 Cl 0.0190 0.2406 0.7620
Cl2 Cl 0.2395 0.4822 0.9979
# Formation energy from raw total energies: -0.72 eV/atom
# Total magnetic moment: 0.00 μB/f.u.

***

# CdAg3Cl7, relaxed, DFT GGA-PBE
data_CdAg3Cl7
_space_group_name_H-M_alt 'C 1 2/m 1'
_space_group_IT_number 12
_cell_length_a 7.8018
_cell_length_b 12.5438
_cell_length_c 6.2409
_cell_angle_alpha 90.00
_cell_angle_beta 113.08
_cell_angle_gamma 90.00
loop_
_space_group_symop_operation_xyz
'x,y,z'
'-x,-y,-z'
'-x,y,-z'
'x,-y,z'
'x+1/2,y+1/2,z'
'-x+1/2,-y+1/2,-z'
'-x+1/2,y+1/2,-z'
'x+1/2,-y+1/2,z'
loop_
_atom_site_label
_atom_site_type_symbol
_atom_site_fract_x
_atom_site_fract_y
_atom_site_fract_z
Cd1 Cd 0.0000 0.0000 0.0000
Ag1 Ag 0.0000 0.2268 0.5000
Ag2 Ag 0.0000 0.5000 0.0000
Cl1 Cl 0.0000 0.0000 0.5000
Cl2 Cl 0.1652 0.2720 0.2253
Cl3 Cl 0.1773 0.5000 0.7584
# Formation energy from raw total energies: -0.44 eV/atom
# Total magnetic moment: 0.00 μB/f.u.
# DOS at the Fermi energy: 0.621 states/eV/atom

***

# CdAg5Cl12, relaxed, DFT GGA-PBE
data_CdAg5Cl12
_space_group_name_H-M_alt 'P -1'
_space_group_IT_number 2
_cell_length_a 6.6401
_cell_length_b 6.6637
_cell_length_c 12.4323
_cell_angle_alpha 90.30
_cell_angle_beta 92.36
_cell_angle_gamma 111.43
loop_
_space_group_symop_operation_xyz
'x,y,z'
'-x,-y,-z'
loop_
_atom_site_label
_atom_site_type_symbol
_atom_site_fract_x
_atom_site_fract_y
_atom_site_fract_z
Cd1 Cd 0.0000 0.0000 0.0000
Ag1 Ag 0.1665 0.3338 0.4999
Ag2 Ag 0.3326 0.6673 0.9998
Ag3 Ag 0.5000 0.0000 0.5000
Cl1 Cl 0.0620 0.7088 0.1196
Cl2 Cl 0.1260 0.6195 0.6156
Cl3 Cl 0.2078 0.0486 0.3840
Cl4 Cl 0.2864 0.9440 0.8805
Cl5 Cl 0.3611 0.3569 0.1052
Cl6 Cl 0.4579 0.2862 0.6161
# Formation energy from raw total energies: -0.44 eV/atom
# Total magnetic moment: 4.30 μB/f.u.
# DOS at the Fermi energy: 0.542 states/eV/atom

***

# CdAgCl2, relaxed, DFT GGA-PBE
data_CdAgCl2
_space_group_name_H-M_alt 'P 1 m 1'
_space_group_IT_number 6
_cell_length_a 5.5012
_cell_length_b 3.5720
_cell_length_c 5.5052
_cell_angle_alpha 90.00
_cell_angle_beta 117.69
_cell_angle_gamma 90.00
loop_
_space_group_symop_operation_xyz
'x,y,z'
'x,-y,z'
loop_
_atom_site_label
_atom_site_type_symbol
_atom_site_fract_x
_atom_site_fract_y
_atom_site_fract_z
Cd1 Cd 0.0000 0.0000 0.0000
Ag1 Ag 0.7655 0.5000 0.2397
Cl1 Cl 0.2086 0.5000 0.7968
Cl2 Cl 0.5576 0.0000 0.4476
# Formation energy from raw total energies: -0.52 eV/atom
# ΔE to the lowest computed polymorph: 0.0 meV/atom
# Total magnetic moment: 0.00 μB/f.u.
# DOS at the Fermi energy: 0.176 states/eV/atom